# 1
# Ni2RuSe | the Alexandria database | PBE | relaxed
data_Ni2RuSe
_chemical_formula_sum 'Ni6 Ru3 Se3'
_cell_length_a 2.8591
_cell_length_b 2.8591
_cell_length_c 22.9409
_cell_angle_alpha 90.00
_cell_angle_beta 90.00
_cell_angle_gamma 120.00
_symmetry_space_group_name_H-M 'R 3 m'
_symmetry_Int_Tables_number 160
_symmetry_space_group_name_Hall 'R 3 -2"'
loop_
_atom_site_label
_atom_site_type_symbol
_atom_site_fract_x
_atom_site_fract_y
_atom_site_fract_z
_atom_site_occupancy
Ni1 Ni 0.0000 0.0000 0.0000 1
Ni2 Ni 0.0000 0.0000 0.2504 1
Ru1 Ru 0.0000 0.0000 0.4963 1
Se1 Se 0.0000 0.0000 0.7455 1
# calculated volume: 162 Å³/cell
# crystal system: trigonal



# 2
# AlCrCl2 | the Alexandria database | PBE | relaxed
data_AlCrCl2
_chemical_formula_sum 'Al2 Cr2 Cl4'
_cell_length_a 10.127
_cell_length_b 3.496
_cell_length_c 6.860
_cell_angle_alpha 90.00
_cell_angle_beta 113.59
_cell_angle_gamma 90.00
_symmetry_space_group_name_H-M 'C 1 m 1'
_symmetry_Int_Tables_number 8
_symmetry_space_group_name_Hall 'C -2y'
loop_
_atom_site_label
_atom_site_type_symbol
_atom_site_fract_x
_atom_site_fract_y
_atom_site_fract_z
_atom_site_occupancy
Al1 Al 0.000 0.000 0.000 1
Cr1 Cr 0.260 0.000 0.000 1
Cl1 Cl 0.257 0.500 0.734 1
Cl2 Cl 0.401 0.500 0.266 1
# relative energy among the computed polymorphs: 184 meV/atom
# calculated volume: 223 Å³/cell
# crystal system: monoclinic



# 3
# Cr2SiAu | the Alexandria database | PBE | relaxed
data_Cr2SiAu
_chemical_formula_sum 'Cr4 Si2 Au2'
_cell_length_a 3.553
_cell_length_b 2.914
_cell_length_c 11.356
_cell_angle_alpha 90.00
_cell_angle_beta 90.00
_cell_angle_gamma 90.00
_symmetry_space_group_name_H-M 'A m m 2'
_symmetry_Int_Tables_number 38
_symmetry_space_group_name_Hall 'A 2 -2'
loop_
_atom_site_label
_atom_site_type_symbol
_atom_site_fract_x
_atom_site_fract_y
_atom_site_fract_z
_atom_site_occupancy
Cr1 Cr 0.000 0.000 0.000 1
Cr2 Cr 0.500 0.000 0.381 1
Si1 Si 0.500 0.000 0.594 1
Au1 Au 0.000 0.000 0.747 1
# calculated volume: 118 Å³/cell
# crystal system: orthorhombic



| no. | E_tot (eV/cell) | calculated density (g cm⁻³) |
| --- | --- | --- |
| 1 | -69.23 | 9.12 |
| 2 | -37.09 | 2.24 |
| 3 | -55.25 | 9.30 |